## CoHg3Br2F6 (GGA+U)

Data for crystalline CoHg3Br2F6 at its relaxed geometry.

Computed properties:
Raw total energy = -2.90 eV per atom

a = 12.4019 Å, b = 6.5101 Å, c = 5.6762 Å
α = 90.00°, β = 91.01°, γ = 90.00°
Space group C2/m (No. 12)
Asymmetric unit:
Co  0.0000  0.0000  0.0000 [2 per cell]
Hg  0.0000  0.5000  0.5000 [2 per cell]
Hg  0.2500  0.2500  0.0000 [4 per cell]
Br  0.1975  0.5000  0.4101 [4 per cell]
F  0.0675  0.2067  0.8229 [8 per cell]
F  0.1218  0.0000  0.1965 [4 per cell]